# 1
Here is NaCaInHg after structural relaxation from Alexandria. Energies are from PBE.

Cell lengths 3.5231, 3.8644, 8.8784 Å; angles 90.00, 90.00, 90.00 degrees
Element x y z (fractional)
1 Na 0.0000 0.0000 0.0000
2 Ca 0.5000 0.0000 0.5165
3 In 0.0000 0.5000 0.2856
4 Hg 0.0000 0.5000 0.7270

Properties
The energy of formation from the pure elements is -0.20 eV/atom. For the density of states at the Fermi level, the calculation gives 2.60 states/eV/f.u. The calculation puts the excess energy over the best structure of this formula in the dataset at 0.093 eV per atom. Its final energy is -7.2 eV/cell.

---

# 2
Here is KUTlTe3 after structural relaxation from Alexandria. Energies are from PBE.

Cell lengths 8.7397, 4.5313, 11.6940 Å; angles 90.00, 94.15, 90.00 degrees
Element x y z (fractional)
1 K 0.0846 0.2500 0.1672
2 K 0.9154 0.7500 0.8328
3 U 0.4129 0.2500 0.8342
4 U 0.5871 0.7500 0.1658
5 Tl 0.2457 0.7500 0.5071
6 Tl 0.7543 0.2500 0.4929
7 Te 0.1254 0.2500 0.6845
8 Te 0.2950 0.7500 0.9913
9 Te 0.4533 0.2500 0.3030
10 Te 0.5467 0.7500 0.6970
11 Te 0.7050 0.2500 0.0087
12 Te 0.8746 0.7500 0.3155

Properties
For the density of states at the Fermi level, the calculation gives 6.63 states/eV/f.u. The calculation puts the formation energy without anion corrections at -4.278 eV/f.u. Its final energy is -56.9 eV/cell.

---

# 3
Here is TiAsOs2Pt after structural relaxation from Alexandria. Energies are from PBE.

Cell lengths 4.5614, 4.5614, 4.7189 Å; angles 90.00, 90.00, 90.00 degrees
Element x y z (fractional)
1 Ti 0.0000 0.0000 0.0000
2 As 0.5000 0.5000 0.5000
3 Os 0.0000 0.5000 0.0000
4 Os 0.5000 0.0000 0.0000
5 Pt 0.0000 0.0000 0.5000

Properties
The energy of formation from the pure elements is 1.53 eV/atom. For the density of states at the Fermi level, the calculation gives 5.20 states/eV/f.u. Its final energy is -33.4 eV/cell.

---

# 4
Here is NaEuMg2 after structural relaxation from Alexandria. Energies are from PBE.

Cell lengths 5.6490, 5.6490, 3.9352 Å; angles 90.00, 90.00, 90.00 degrees
Element x y z (fractional)
1 Na 0.0000 0.0000 0.0000
2 Eu 0.5000 0.5000 0.0000
3 Mg 0.0000 0.5000 0.5000
4 Mg 0.5000 0.0000 0.5000

Properties
The energy of formation from the pure elements is 0.06 eV/atom. For the density of states at the Fermi level, the calculation gives 8.34 states/eV/f.u. The calculation puts the excess energy over the best structure of this formula in the dataset at 0.014 eV per atom. Its final energy is -14.5 eV/cell.

---

# 5
Here is ZrU3Se6 after structural relaxation from Alexandria. Energies are from PBE.

Cell lengths 8.1722, 8.1722, 8.1722 Å; angles 99.14, 99.14, 99.14 degrees
Element x y z (fractional)
1 Zr 0.0000 0.0000 0.0000
2 Zr 0.5000 0.5000 0.5000
3 U 0.1259 0.3023 0.6365
4 U 0.3023 0.6365 0.1259
5 U 0.3635 0.8741 0.6977
6 U 0.6365 0.1259 0.3023
7 U 0.6977 0.3635 0.8741
8 U 0.8741 0.6977 0.3635
9 Se 0.0248 0.9314 0.6755
10 Se 0.0686 0.3245 0.9752
11 Se 0.1813 0.5653 0.4241
12 Se 0.3245 0.9752 0.0686
13 Se 0.4241 0.1813 0.5653
14 Se 0.4347 0.5759 0.8187
15 Se 0.5653 0.4241 0.1813
16 Se 0.5759 0.8187 0.4347
17 Se 0.6755 0.0248 0.9314
18 Se 0.8187 0.4347 0.5759
19 Se 0.9314 0.6755 0.0248
20 Se 0.9752 0.0686 0.3245

Properties
For the density of states at the Fermi level, the calculation gives 21.92 states/eV/f.u. The calculation puts the formation energy without anion corrections at -10.992 eV/f.u. Its final energy is -148.6 eV/cell.

---

# 6
Here is Ba2ZnBiS5 after structural relaxation from Alexandria. Energies are from PBE.

Cell lengths 9.2043, 9.2043, 13.1051 Å; angles 90.00, 90.00, 153.89 degrees
Element x y z (fractional)
1 Ba 0.1088 0.8912 0.5000
2 Ba 0.1295 0.8705 0.1397
3 Ba 0.8705 0.1295 0.6397
4 Ba 0.8912 0.1088 0.0000
5 Zn 0.4469 0.5531 0.2402
6 Zn 0.5531 0.4469 0.7402
7 Bi 0.2036 0.7964 0.8404
8 Bi 0.7964 0.2036 0.3404
9 S 0.0394 0.9606 0.8296
10 S 0.2884 0.7116 0.4826
11 S 0.3144 0.6856 0.1928
12 S 0.3505 0.6495 0.8228
13 S 0.4932 0.5068 0.5844
14 S 0.5068 0.4932 0.0844
15 S 0.6495 0.3505 0.3228
16 S 0.6856 0.3144 0.6928
17 S 0.7116 0.2884 0.9826
18 S 0.9606 0.0394 0.3296

Properties
For the density of states at the Fermi level, the calculation gives 7.05 states/eV/f.u. The calculation puts the formation energy without anion corrections at -10.231 eV/f.u. Its final energy is -79.7 eV/cell.

---

# 7
Here is Cs2IrBr5 after structural relaxation from Alexandria. Energies are from PBE.

Cell lengths 7.6137, 7.6137, 7.6137 Å; angles 116.84, 116.84, 95.57 degrees
Element x y z (fractional)
1 Cs 0.0000 0.5000 0.5000
2 Cs 0.5000 0.0000 0.5000
3 Ir 0.2676 0.2676 0.0000
4 Br 0.0289 0.0289 0.5577
5 Br 0.0289 0.4711 0.0000
6 Br 0.4711 0.0289 0.0000
7 Br 0.4711 0.4711 0.4423
8 Br 0.5030 0.5030 0.0000

Properties
The calculation puts the formation energy without anion corrections at -7.709 eV/f.u. Its final energy is -26.6 eV/cell.

---

# 8
Here is LiLuHgGe after structural relaxation from Alexandria. Energies are from PBE.

Cell lengths 4.8816, 4.8816, 4.8816 Å; angles 60.00, 60.00, 60.00 degrees
Element x y z (fractional)
1 Li 0.0000 0.0000 0.0000
2 Lu 0.5000 0.5000 0.5000
3 Hg 0.7500 0.7500 0.7500
4 Ge 0.2500 0.2500 0.2500

Properties
The energy of formation from the pure elements is -0.48 eV/atom. For the density of states at the Fermi level, the calculation gives 1.56 states/eV/f.u. Its final energy is -13.3 eV/cell.